1.
This record from Alexandria via LeMat-Bulk describes crystalline Ho2CoNi at its relaxed geometry. The functional is PBE.

Results
energy relative to the elements = 0.394 eV/atom
Fermi-level density of states = 3.3 states/eV/f.u.

a b c (Å): 3.4289 3.4289 8.7997
angles (deg): 78.77 78.77 60.00
With the nearest neighbours (Å) after each atom.
Positions (direct):
Co 0.5000 0.5000 0.5000  6 Ho 2.64
Ho 0.9011 0.9011 0.2966  1 Ni 2.54, 3 Co 2.64
Ho 0.0989 0.0989 0.7034  1 Ni 2.54, 3 Co 2.64
Ni 0.0000 0.0000 0.0000  2 Ho 2.54

=====

2.
This record from Alexandria via LeMat-Bulk describes crystalline K3VBr7 at its relaxed geometry. The functional is PBE.

Results
Fermi-level density of states = 6.3 states/eV/f.u.
ΔE_f (raw) = -1.246 eV/atom

a b c (Å): 7.1629 7.1629 7.9938
angles (deg): 80.15 80.15 95.40
With the nearest neighbours (Å) after each atom.
Positions (direct):
K 0.4873 0.4873 0.9221  3 Br 3.22-3.42
K 0.7695 0.2036 0.4871  5 Br 3.13-3.48
Br 0.6905 0.0289 0.1436  1 V 2.45
Br 0.0073 0.3360 0.8021  1 V 2.53
Br 0.3360 0.0073 0.8021  1 V 2.53
Br 0.1638 0.1638 0.2018  1 V 2.58
V 0.0093 0.0093 0.9820  6 Br 2.45-2.58
Br 0.0289 0.6905 0.1436  1 V 2.45
Br 0.8531 0.8531 0.7728  1 V 2.52
K 0.2036 0.7695 0.4871  5 Br 3.13-3.48
Br 0.5757 0.5757 0.5057  3 K 3.13-3.22

=====

3.
This record from Alexandria via LeMat-Bulk describes crystalline YCdRu2 at its relaxed geometry. The functional is PBE.

Results
energy relative to the elements = 0.223 eV/atom
Fermi-level density of states = 4.6 states/eV/f.u.

a b c (Å): 4.7306 4.7306 4.7306
angles (deg): 60.00 60.00 60.00
With the nearest neighbours (Å) after each atom.
Positions (direct):
Cd 0.5000 0.5000 0.5000  4 Ru 2.90, 4 Y 2.90
Ru 0.7500 0.7500 0.7500  4 Cd 2.90, 4 Ru 2.90
Ru 0.0000 0.0000 0.0000  4 Y 2.90, 4 Ru 2.90
Y 0.2500 0.2500 0.2500  4 Cd 2.90, 4 Ru 2.90

=====

4.
This record from Alexandria via LeMat-Bulk describes crystalline Mg2CuW at its relaxed geometry. The functional is PBE.

Results
energy relative to the elements = 0.502 eV/atom
Fermi-level density of states = 3.1 states/eV/f.u.
polymorph energy (0 for the lowest one) = 0.278 eV per atom

a b c (Å): 2.9630 4.7299 4.6600
angles (deg): 90.00 90.00 90.00
With the nearest neighbours (Å) after each atom.
Positions (direct):
Cu 0.0000 0.5000 0.5000  4 Mg 2.76, 4 W 2.79, 2 Cu 2.96
Mg 0.0000 0.0000 0.0000  4 W 2.76, 6 Mg 2.79-2.96
Mg 0.5000 0.5000 0.0000  4 Cu 2.76, 6 Mg 2.79-2.96
W 0.5000 0.0000 0.5000  4 Mg 2.76, 4 Cu 2.79, 2 W 2.96

=====

5.
This record from Alexandria via LeMat-Bulk describes crystalline TlCd3 at its relaxed geometry. The functional is PBE.

Results
energy relative to the elements = 0.056 eV/atom
Fermi-level density of states = 1.8 states/eV/f.u.

a b c (Å): 5.4703 6.5442 6.5646
angles (deg): 60.15 90.00 90.00
With the nearest neighbours (Å) after each atom.
Positions (direct):
Cd 0.2500 0.8382 0.8387  8 Cd 3.17-3.39, 4 Tl 3.28-3.36
Cd 0.2500 0.8388 0.3224  8 Cd 3.18-3.39, 4 Tl 3.27-3.36
Cd 0.7500 0.1618 0.1613  8 Cd 3.17-3.39, 4 Tl 3.28-3.36
Tl 0.2500 0.3331 0.3339  12 Cd 3.27-3.36
Cd 0.7500 0.1612 0.6776  8 Cd 3.18-3.39, 4 Tl 3.27-3.36
Cd 0.7500 0.6771 0.1611  8 Cd 3.17-3.39, 4 Tl 3.28-3.36
Cd 0.2500 0.3229 0.8389  8 Cd 3.17-3.39, 4 Tl 3.28-3.36
Tl 0.7500 0.6669 0.6661  12 Cd 3.27-3.36

=====

6.
This record from Alexandria via LeMat-Bulk describes crystalline Cr2HgW at its relaxed geometry. The functional is PBE.

Results
energy relative to the elements = 1.157 eV/atom
Fermi-level density of states = 4.0 states/eV/f.u.

a b c (Å): 6.9935 6.9935 5.6457
angles (deg): 51.73 51.73 90.00
With the nearest neighbours (Å) after each atom.
Positions (direct):
Cr 0.5903 0.1250 0.2500  2 W 2.41
Hg 0.7500 0.2500 0.5000  2 W 2.72, 4 Cr 2.74
Cr 0.8750 0.8403 0.7500  2 W 2.41
Hg 0.0000 0.0000 0.0000  2 W 2.72, 4 Cr 2.74
Cr 0.1597 0.6250 0.2500  2 W 2.41
Cr 0.3750 0.4097 0.7500  2 W 2.41
W 0.2500 0.7500 0.5000  4 Cr 2.41
W 0.5000 0.5000 0.0000  4 Cr 2.41

=====

7.
This record from Alexandria via LeMat-Bulk describes crystalline Ba3SbPH at its relaxed geometry. The functional is PBE.

Results
energy = -3.84 eV per atom

a b c (Å): 8.6328 8.6328 7.9776
angles (deg): 65.19 65.19 66.53
With the nearest neighbours (Å) after each atom.
Positions (direct):
Ba 0.6880 0.6880 0.4405  2 H 2.88, 1 P 3.03
Ba 0.8637 0.3019 0.1547  1 H 2.70
Sb 0.2817 0.2817 0.1575  5 Ba 3.45-3.55
Ba 0.1363 0.6981 0.8453  1 H 2.70
P 0.0751 0.0751 0.8572  1 P 2.22
H 0.6488 0.3512 0.5000  4 Ba 2.70-2.88, 1 H 2.82
Sb 0.7183 0.7183 0.8425  5 Ba 3.45-3.55
H 0.3512 0.6488 0.5000  4 Ba 2.70-2.88, 1 H 2.82
Ba 0.6981 0.1363 0.8453  1 H 2.70
Ba 0.3120 0.3120 0.5595  2 H 2.88, 1 P 3.03
Ba 0.3019 0.8637 0.1547  1 H 2.70
P 0.9249 0.9249 0.1428  1 P 2.22

=====

8.
This record from Alexandria via LeMat-Bulk describes crystalline TbGd2Sn at its relaxed geometry. The functional is PBE.

Results
energy relative to the elements = -0.445 eV/atom
Fermi-level density of states = 5.6 states/eV/f.u.
polymorph energy (0 for the lowest one) = 0.000 eV per atom

a b c (Å): 4.8848 4.8265 4.8265
angles (deg): 90.00 90.00 90.00
With the nearest neighbours (Å) after each atom.
Positions (direct):
Gd 0.0000 0.5000 0.0000  4 Gd 3.41, 4 Sn 3.43, 4 Tb 3.43
Tb 0.5000 0.5000 0.5000  4 Sn 3.41, 8 Gd 3.43
Sn 0.5000 0.0000 0.0000  4 Tb 3.41, 8 Gd 3.43
Gd 0.0000 0.0000 0.5000  4 Gd 3.41, 4 Tb 3.43, 4 Sn 3.43

=====

| no. | total moment (μB per formula unit) |
| --- | --- |
| 1 | 0.0 |
| 2 | 1.0 |
| 3 | 2.1 |
| 4 | 0.0 |
| 5 | 0.0 |
| 6 | 0.0 |
| 7 | 0.0 |
| 8 | 15.2 |